A relaxed structure of Ca2Cd6AgHg, computed with PBE.

Values from the calculation:
* E: -1.33 eV/atom
* calculated formation energy: -0.070 eV/atom

Lattice parameters (Å, degrees): 12.8620 12.8620 12.8620 32.58 32.58 32.58
Element x y z (fractional)
Ca: 0.1054 0.1054 0.1054
Ca: 0.2804 0.2804 0.2804
Ca: 0.7196 0.7196 0.7196
Ca: 0.8946 0.8946 0.8946
Cd: 0.0669 0.6686 0.6686
Cd: 0.2248 0.2248 0.6379
Cd: 0.2248 0.6379 0.2248
Cd: 0.3314 0.3314 0.9331
Cd: 0.3314 0.9331 0.3314
Cd: 0.3621 0.7752 0.7752
Cd: 0.6379 0.2248 0.2248
Cd: 0.6686 0.0669 0.6686
Cd: 0.6686 0.6686 0.0669
Cd: 0.7752 0.3621 0.7752
Cd: 0.7752 0.7752 0.3621
Cd: 0.9331 0.3314 0.3314
Ag: 0.0000 0.0000 0.0000
Ag: 0.5000 0.5000 0.5000
Hg: 0.4250 0.4250 0.4250
Hg: 0.5750 0.5750 0.5750